# TcAg3As

A relaxed TcAg3As crystal (GGA-PBE, Alexandria).

a = 5.092 Å, b = 5.092 Å, c = 5.092 Å
α = 90.00°, β = 90.00°, γ = 90.00°
Site moments in Bohr magnetons follow the coordinates.
Fractional positions:
1 Ag 0.000 0.500 0.000  0.14
2 Tc 0.000 0.000 0.000  2.64
3 Ag 0.500 0.000 0.000  0.08
4 Ag 0.000 0.000 0.500  0.18
5 As 0.500 0.500 0.500  0.14

Summary:
The calculation puts the formation energy at 1.61 eV per atom. The volume comes out at 26.40 Å³/atom. The value obtained for the total magnetization is 3.650 μB per formula unit. The offset from the most stable computed form comes out at 0.511 eV per atom.



# CrGaPt2

A relaxed CrGaPt2 crystal (GGA-PBE, Alexandria).

a = 3.924 Å, b = 3.924 Å, c = 9.141 Å
α = 77.61°, β = 77.61°, γ = 90.00°
Site moments in Bohr magnetons follow the coordinates.
Fractional positions:
1 Cr 0.250 0.750 0.500  3.03
2 Pt 0.375 0.375 0.750  0.01
3 Pt 0.875 0.875 0.750  0.01
4 Pt 0.125 0.625 0.250  0.00
5 Pt 0.625 0.125 0.250  0.00
6 Ga 0.000 0.000 0.000  -0.04
7 Ga 0.750 0.250 0.500  -0.04
8 Cr 0.500 0.500 0.000  3.04

Summary:
The calculation puts the formation energy at 0.00 eV per atom. The volume comes out at 16.76 Å³/atom. The value obtained for the total magnetization is 3.223 μB per formula unit.



# AlPt2W

A relaxed AlPt2W crystal (GGA-PBE, Alexandria).

a = 9.039 Å, b = 9.039 Å, c = 9.039 Å
α = 18.06°, β = 18.06°, γ = 18.06°
Fractional positions:
1 Al 0.748 0.748 0.748
2 Pt 0.006 0.006 0.006
3 Pt 0.248 0.248 0.248
4 W 0.499 0.499 0.499

Summary:
The calculation puts the formation energy at -0.31 eV per atom. The volume comes out at 15.50 Å³/atom. The value obtained for the total magnetization is 0.000 μB per formula unit.



# ScCdIr2

A relaxed ScCdIr2 crystal (GGA-PBE, Alexandria).

a = 9.017 Å, b = 9.017 Å, c = 9.017 Å
α = 19.13°, β = 19.13°, γ = 19.13°
Fractional positions:
1 Cd 0.750 0.750 0.750
2 Ir 0.995 0.995 0.995
3 Sc 0.250 0.250 0.250
4 Ir 0.505 0.505 0.505

Summary:
The calculation puts the formation energy at -0.20 eV per atom. The volume comes out at 17.21 Å³/atom. The value obtained for the total magnetization is 0.001 μB per formula unit.



# IrWBr2

A relaxed IrWBr2 crystal (GGA-PBE, Alexandria).

a = 8.571 Å, b = 3.706 Å, c = 8.571 Å
α = 100.52°, β = 156.01°, γ = 90.99°
Fractional positions:
1 Br 0.070 0.073 0.003
2 Ir 0.456 0.463 0.006
3 W 0.726 0.149 0.422
4 Br 0.247 0.815 0.568

Summary:
The volume comes out at 24.15 Å³/atom. The value obtained for the total magnetization is 0.000 μB per formula unit. For the formation energy from raw total energies, the calculation gives 0.071 eV/atom. The offset from the most stable computed form comes out at 0.000 eV per atom.



# Na8GaPb6

A relaxed Na8GaPb6 crystal (GGA-PBE, Alexandria).

a = 9.285 Å, b = 9.285 Å, c = 8.505 Å
α = 56.92°, β = 56.92°, γ = 60.00°
Fractional positions:
1 Pb 0.638 0.961 0.124
2 Na 0.125 0.448 0.634
3 Na 0.793 0.125 0.634
4 Na 0.338 0.338 0.986
5 Pb 0.362 0.039 0.876
6 Ga 0.000 0.000 0.000
7 Pb 0.278 0.638 0.124
8 Na 0.207 0.875 0.366
9 Na 0.875 0.552 0.366
10 Pb 0.039 0.722 0.876
11 Pb 0.961 0.278 0.124
12 Pb 0.722 0.362 0.876
13 Na 0.552 0.207 0.366
14 Na 0.448 0.793 0.634
15 Na 0.662 0.662 0.014

Summary:
The calculation puts the formation energy at -0.06 eV per atom. The volume comes out at 32.87 Å³/atom. The value obtained for the total magnetization is 0.000 μB per formula unit.



# KMo2W

A relaxed KMo2W crystal (GGA-PBE, Alexandria).

a = 4.337 Å, b = 2.820 Å, c = 7.766 Å
α = 84.36°, β = 90.00°, γ = 90.00°
Fractional positions:
1 Mo 0.000 0.926 0.104
2 Mo 0.500 0.244 0.251
3 K 0.500 0.759 0.749
4 W 0.000 0.572 0.396

Summary:
The calculation puts the formation energy at 0.93 eV per atom. The volume comes out at 23.63 Å³/atom. The value obtained for the total magnetization is 0.000 μB per formula unit. The offset from the most stable computed form comes out at 0.181 eV per atom.



# BaBeW3

A relaxed BaBeW3 crystal (GGA-PBE, Alexandria).

a = 4.988 Å, b = 4.988 Å, c = 4.988 Å
α = 90.00°, β = 90.00°, γ = 90.00°
Fractional positions:
1 W 0.500 0.000 0.000
2 W 0.000 0.500 0.000
3 W 0.000 0.000 0.500
4 Ba 0.000 0.000 0.000
5 Be 0.500 0.500 0.500

Summary:
The calculation puts the formation energy at 4.16 eV per atom. The volume comes out at 24.83 Å³/atom. The value obtained for the total magnetization is 0.000 μB per formula unit. The offset from the most stable computed form comes out at 2.502 eV per atom.



# Ce2Co4GeP3

A relaxed Ce2Co4GeP3 crystal (GGA-PBE, Alexandria).

a = 3.977 Å, b = 3.977 Å, c = 9.279 Å
α = 90.00°, β = 90.00°, γ = 90.00°
Site moments in Bohr magnetons follow the coordinates.
Fractional positions:
1 P 0.000 0.500 0.129  0.01
2 Ce 0.500 0.000 0.245  -0.12
3 P 0.500 0.000 0.871  0.01
4 Co 0.000 0.000 0.000  0.66
5 Co 0.500 0.500 0.000  0.65
6 Co 0.000 0.500 0.373  -0.02
7 Co 0.500 0.000 0.627  -0.02
8 Ge 0.500 0.500 0.500  0.00
9 P 0.000 0.000 0.500  0.00
10 Ce 0.000 0.500 0.755  -0.12

Summary:
The calculation puts the formation energy at -0.93 eV per atom. The volume comes out at 14.68 Å³/atom. The value obtained for the total magnetization is 0.978 μB per formula unit.



# NdDy2Er6Sc3

A relaxed NdDy2Er6Sc3 crystal (GGA-PBE, Alexandria).

a = 6.022 Å, b = 6.022 Å, c = 11.439 Å
α = 95.03°, β = 95.03°, γ = 119.97°
Fractional positions:
1 Nd 0.000 0.000 0.000
2 Sc 0.833 0.167 0.500
3 Sc 0.167 0.833 0.500
4 Er 0.580 0.913 0.740
5 Er 0.087 0.420 0.260
6 Er 0.247 0.247 0.740
7 Sc 0.500 0.500 0.500
8 Dy 0.333 0.667 0.000
9 Er 0.753 0.753 0.260
10 Dy 0.667 0.333 0.000
11 Er 0.420 0.087 0.260
12 Er 0.913 0.580 0.740

Summary:
The calculation puts the formation energy at 0.04 eV per atom. The volume comes out at 29.49 Å³/atom. The value obtained for the total magnetization is 0.000 μB per formula unit.



# AlBrCl2

A relaxed AlBrCl2 crystal (GGA-PBE, Alexandria).

a = 3.282 Å, b = 3.282 Å, c = 8.515 Å
α = 90.00°, β = 90.00°, γ = 90.00°
Site moments in Bohr magnetons follow the coordinates.
Fractional positions:
1 Cl 0.000 0.000 0.995  0.48
2 Br 0.500 0.500 0.684  0.00
3 Al 0.000 0.000 0.498  0.00
4 Cl 0.500 0.500 0.323  0.00

Summary:
The volume comes out at 22.93 Å³/atom. The value obtained for the total magnetization is 0.598 μB per formula unit. For the formation energy from raw total energies, the calculation gives -0.181 eV/atom. The offset from the most stable computed form comes out at 1.163 eV per atom.



# Ca3Ac2Nd2

A relaxed Ca3Ac2Nd2 crystal (GGA-PBE, Alexandria).

a = 3.809 Å, b = 5.868 Å, c = 13.294 Å
α = 77.25°, β = 90.00°, γ = 90.00°
Fractional positions:
1 Ac 0.000 0.156 0.688
2 Nd 0.500 0.716 0.568
3 Ca 0.500 0.574 0.852
4 Ca 0.500 0.426 0.148
5 Nd 0.500 0.284 0.432
6 Ca 0.000 0.000 0.000
7 Ac 0.000 0.844 0.312

Summary:
The calculation puts the formation energy at 0.02 eV per atom. The volume comes out at 41.41 Å³/atom. The value obtained for the total magnetization is 0.000 μB per formula unit.



The highest volume belongs to which entry? Ca3Ac2Nd2



Which of these has the highest volume? Ca3Ac2Nd2